The following is a PBE-GGA calculation of a relaxed SrPrTm crystal, from Alexandria via LeMat-Bulk.

Calculated values
**VASP energy**: -3.51 eV per atom
**Formation energy**: 0.137 eV/atom
**Total magnetization**: 0.0 μB/f.u.
**Symmetry**: P3m1
**N(E_F)**: 4.18 states/eV/cell
**Crystal system**: trigonal

Cell lengths 3.7634, 3.7634, 9.3472 Å; angles 90.00, 90.00, 120.00 degrees
With the nearest neighbours (Å) after each atom.
Atoms (fractional coordinates):
Pr 0.6667 0.3333 0.3567  3 Tm 3.50, 6 Pr 3.76
Sr 0.0000 0.0000 0.9931  6 Sr 3.76, 3 Tm 3.87, 3 Pr 4.03
Tm 0.3333 0.6667 0.6502  3 Pr 3.50, 6 Tm 3.76, 3 Sr 3.87

---

The following is a PBE-GGA calculation of a relaxed CaHf2SnN4 crystal, from Alexandria via LeMat-Bulk.

Calculated values
**VASP energy**: -8.37 eV per atom
**Formation energy (no corrections)**: -0.97 eV/atom
**Total magnetization**: 0.0 μB/f.u.
**Symmetry**: I-4m2
**N(E_F)**: 2.66 states/eV/cell
**Crystal system**: tetragonal

Cell lengths 4.7045, 4.7045, 5.8721 Å; angles 113.61, 113.61, 90.00 degrees
With the nearest neighbours (Å) after each atom.
Atoms (fractional coordinates):
Ca 0.5000 0.5000 0.0000  6 N 2.37-2.62
Hf 0.2500 0.7500 0.5000  6 N 2.16-2.36
Hf 0.0000 0.0000 0.0000  6 N 2.22-2.37
Sn 0.7500 0.2500 0.5000  4 N 2.36
N 0.0267 0.5267 0.0533  3 Hf 2.16-2.37, 2 Ca 2.37
N 0.4733 0.9733 0.9467  3 Hf 2.16-2.37, 2 Ca 2.37
N 0.7705 0.7705 0.5410  3 Hf 2.22-2.36, 2 Sn 2.36
N 0.2295 0.2295 0.4590  3 Hf 2.22-2.36, 2 Sn 2.36

---

The following is a PBE-GGA calculation of a relaxed Ac3TlHg2 crystal, from Alexandria via LeMat-Bulk.

Calculated values
**VASP energy**: -2.97 eV per atom
**Formation energy**: -0.425 eV/atom
**Total magnetization**: 1.0 μB/f.u.
**Symmetry**: Cmmm
**N(E_F)**: 7.46 states/eV/cell
**Crystal system**: orthorhombic

Cell lengths 4.0543, 5.7844, 9.1366 Å; angles 108.45, 90.00, 90.00 degrees
With the nearest neighbours (Å) after each atom.
Atoms (fractional coordinates):
Ac 0.5000 0.5000 0.0000  4 Hg 3.52, 4 Tl 3.53
Ac 0.5000 0.8310 0.6620  6 Hg 3.50-3.53, 2 Tl 3.56
Ac 0.5000 0.1690 0.3380  6 Hg 3.50-3.53, 2 Tl 3.56
Tl 0.0000 0.0000 0.0000  8 Ac 3.53-3.56
Hg 0.0000 0.3337 0.6674  8 Ac 3.50-3.53
Hg 0.0000 0.6663 0.3326  8 Ac 3.50-3.53

---

The following is a PBE-GGA calculation of a relaxed ScGa2Ge crystal, from Alexandria via LeMat-Bulk.

Calculated values
**VASP energy**: -3.91 eV per atom
**Formation energy**: 0.343 eV/atom
**Total magnetization**: 0.0 μB/f.u.
**Symmetry**: R-3m
**N(E_F)**: 3.27 states/eV/cell
**Crystal system**: trigonal

Cell lengths 4.7225, 4.7225, 6.2869 Å; angles 67.94, 67.94, 60.00 degrees
With the nearest neighbours (Å) after each atom.
Atoms (fractional coordinates):
Sc 0.5000 0.5000 0.5000  6 Ga 2.76
Ge 0.0000 0.0000 0.0000  2 Ga 2.42
Ga 0.1422 0.1422 0.5735  1 Ge 2.42
Ga 0.8578 0.8578 0.4265  1 Ge 2.42

---

The following is a PBE-GGA calculation of a relaxed Tm2Hf2C3 crystal, from Alexandria via LeMat-Bulk.

Calculated values
**VASP energy**: -8.65 eV per atom
**Formation energy**: -0.578 eV/atom
**Total magnetization**: 0.0 μB/f.u.
**Symmetry**: C2/m
**N(E_F)**: 3.07 states/eV/cell
**Crystal system**: monoclinic

Cell lengths 3.4787, 6.0077, 5.8734 Å; angles 102.84, 89.99, 106.85 degrees
With the nearest neighbours (Å) after each atom.
Atoms (fractional coordinates):
Tm 0.6194 0.2386 0.8662  5 C 2.45-2.59
Tm 0.3806 0.7614 0.1338  5 C 2.45-2.59
Hf 0.8585 0.7170 0.6503  4 C 2.21-2.32
Hf 0.1415 0.2830 0.3497  4 C 2.21-2.32
C 0.0000 0.0000 0.0000  2 Hf 2.31, 4 Tm 2.45
C 0.7445 0.4886 0.2695  3 Hf 2.21-2.32, 1 Tm 2.47
C 0.2555 0.5114 0.7305  3 Hf 2.21-2.32, 1 Tm 2.47

---

The following is a PBE-GGA calculation of a relaxed Li6MgSn2 crystal, from Alexandria via LeMat-Bulk.

Calculated values
**VASP energy**: -2.57 eV per atom
**Formation energy**: -0.230 eV/atom
**Total magnetization**: 0.0 μB/f.u.
**Symmetry**: C2/m
**N(E_F)**: 2.40 states/eV/cell
**Crystal system**: monoclinic

Cell lengths 4.8104, 5.5918, 7.4077 Å; angles 112.17, 109.10, 90.00 degrees
With the nearest neighbours (Å) after each atom.
Atoms (fractional coordinates):
Li 0.6054 0.8634 0.2114  4 Li 2.66-2.88, 2 Sn 2.82
Li 0.7813 0.7798 0.5596  2 Li 2.66, 1 Mg 2.83
Li 0.6054 0.3480 0.2114  4 Li 2.66-2.88, 2 Sn 2.82
Li 0.3946 0.1366 0.7886  4 Li 2.66-2.88, 2 Sn 2.82
Li 0.2187 0.2202 0.4404  2 Li 2.66, 1 Mg 2.83
Li 0.3946 0.6520 0.7886  4 Li 2.66-2.88, 2 Sn 2.82
Mg 0.0000 0.0000 0.0000  10 Li 2.83-3.08
Sn 0.1291 0.6291 0.2583  8 Li 2.82-3.09
Sn 0.8709 0.3709 0.7417  8 Li 2.82-3.09

---

The following is a PBE-GGA calculation of a relaxed Pr2Sm7Er4 crystal, from Alexandria via LeMat-Bulk.

Calculated values
**VASP energy**: -4.55 eV per atom
**Formation energy**: 0.134 eV/atom
**Total magnetization**: 0.0 μB/f.u.
**Symmetry**: P-1
**N(E_F)**: 18.96 states/eV/cell
**Crystal system**: triclinic

Cell lengths 6.8350, 6.3212, 12.1193 Å; angles 100.93, 81.40, 121.30 degrees
With the nearest neighbours (Å) after each atom.
Atoms (fractional coordinates):
Pr 0.7027 0.2908 0.9837  6 Sm 3.27-3.66, 2 Pr 3.31-3.55
Pr 0.2973 0.7092 0.0163  6 Sm 3.27-3.66, 2 Pr 3.31-3.55
Sm 0.0667 0.5846 0.7544  3 Er 3.41-3.63, 5 Sm 3.42-3.72, 2 Pr 3.53
Sm 0.9333 0.4154 0.2456  3 Er 3.41-3.63, 5 Sm 3.42-3.72, 2 Pr 3.53
Sm 0.0000 0.0000 0.0000  4 Pr 3.42-3.82, 4 Sm 3.72-3.79
Sm 0.6409 0.9672 0.6954  4 Sm 3.42-3.56, 5 Er 3.45-3.78, 1 Pr 3.66
Sm 0.3591 0.0328 0.3046  4 Sm 3.42-3.56, 5 Er 3.45-3.78, 1 Pr 3.66
Sm 0.5223 0.5784 0.1947  2 Pr 3.27-3.31, 2 Er 3.31-3.54, 4 Sm 3.50-3.62
Sm 0.4777 0.4216 0.8053  2 Pr 3.27-3.31, 2 Er 3.31-3.54, 4 Sm 3.50-3.62
Er 0.1642 0.0258 0.5958  4 Sm 3.31-3.58, 5 Er 3.32-3.55
Er 0.8358 0.9742 0.4042  4 Sm 3.31-3.58, 5 Er 3.32-3.55
Er 0.7156 0.4453 0.5242  6 Er 3.39-3.55, 6 Sm 3.49-3.78
Er 0.2844 0.5547 0.4758  6 Er 3.39-3.55, 6 Sm 3.49-3.78

---

The following is a PBE-GGA calculation of a relaxed CsTl2AgRh crystal, from Alexandria via LeMat-Bulk.

Calculated values
**VASP energy**: -3.14 eV per atom
**Formation energy**: 0.015 eV/atom
**Total magnetization**: 0.0 μB/f.u.
**Symmetry**: P4/mmm
**N(E_F)**: 2.47 states/eV/cell
**Crystal system**: tetragonal

Cell lengths 5.3096, 5.5818, 5.3096 Å; angles 90.00, 90.00, 90.00 degrees
With the nearest neighbours (Å) after each atom.
Atoms (fractional coordinates):
Cs 0.5000 0.5000 0.5000  4 Ag 3.75, 8 Tl 3.85
Tl 0.0000 0.0000 0.5000  2 Rh 2.65
Tl 0.5000 0.0000 0.0000  2 Rh 2.65
Rh 0.0000 0.0000 0.0000  4 Tl 2.65, 2 Ag 2.79
Ag 0.0000 0.5000 0.0000  2 Rh 2.79

---

The following is a PBE-GGA calculation of a relaxed PuCdAu4 crystal, from Alexandria via LeMat-Bulk.

Calculated values
**VASP energy**: -5.00 eV per atom
**Formation energy**: -0.270 eV/atom
**Total magnetization**: 5.7 μB/f.u.
**Symmetry**: P2/m
**N(E_F)**: 11.13 states/eV/cell
**Crystal system**: monoclinic

Cell lengths 3.1194, 4.9497, 8.1374 Å; angles 90.00, 82.46, 90.00 degrees
With the nearest neighbours (Å) after each atom.
Atoms (fractional coordinates):
Pu 0.5000 0.0000 0.0000  2 Pu 3.12, 12 Au 3.12-3.26
Cd 0.5000 0.5000 0.5000  6 Au 2.85-2.92, 2 Cd 3.12
Au 0.1565 0.0000 0.6566  6 Au 2.84-3.12, 2 Cd 2.92, 1 Pu 3.12
Au 0.0458 0.5000 0.8277  3 Au 2.78-2.84, 1 Cd 2.85
Au 0.8435 0.0000 0.3434  6 Au 2.84-3.12, 2 Cd 2.92, 1 Pu 3.12
Au 0.9542 0.5000 0.1723  3 Au 2.78-2.84, 1 Cd 2.85

---

The following is a PBE-GGA calculation of a relaxed LiNdTh2 crystal, from Alexandria via LeMat-Bulk.

Calculated values
**VASP energy**: -5.21 eV per atom
**Formation energy**: 0.169 eV/atom
**Total magnetization**: 0.0 μB/f.u.
**Symmetry**: R3m
**N(E_F)**: 4.20 states/eV/cell
**Crystal system**: trigonal

Cell lengths 3.5019, 3.5019, 11.8050 Å; angles 81.50, 81.50, 60.01 degrees
With the nearest neighbours (Å) after each atom.
Atoms (fractional coordinates):
Li 0.6667 0.6667 0.9995  6 Th 3.44, 6 Li 3.50
Nd 0.4999 0.4999 0.5008  6 Nd 3.50, 6 Th 3.64-3.66
Th 0.0798 0.0798 0.7607  3 Li 3.44, 6 Th 3.50, 3 Nd 3.64
Th 0.2535 0.2535 0.2390  3 Li 3.44, 6 Th 3.50, 3 Nd 3.66

---

The following is a PBE-GGA calculation of a relaxed SmSc2Rh crystal, from Alexandria via LeMat-Bulk.

Calculated values
**VASP energy**: -6.54 eV per atom
**Formation energy**: -0.354 eV/atom
**Total magnetization**: 0.0 μB/f.u.
**Symmetry**: R3m
**N(E_F)**: 2.90 states/eV/cell
**Crystal system**: trigonal

Cell lengths 4.4064, 4.4064, 6.4971 Å; angles 70.18, 70.18, 60.00 degrees
With the nearest neighbours (Å) after each atom.
Atoms (fractional coordinates):
Sm 0.4966 0.4966 0.5101  1 Rh 3.14, 6 Sc 3.28-3.34
Sc 0.0477 0.0477 0.8568  3 Rh 2.66
Sc 0.2840 0.2840 0.1479  3 Rh 2.72
Rh 0.6716 0.6716 0.9852  6 Sc 2.66-2.72

---

The following is a PBE-GGA calculation of a relaxed TaZn4Te crystal, from Alexandria via LeMat-Bulk.

Calculated values
**VASP energy**: -3.06 eV per atom
**Formation energy (no corrections)**: 0.28 eV/atom
**Total magnetization**: 0.0 μB/f.u.
**Symmetry**: F-43m
**N(E_F)**: 6.79 states/eV/cell
**Crystal system**: cubic

Cell lengths 5.2208, 5.2208, 5.2208 Å; angles 60.00, 60.00, 60.00 degrees
With the nearest neighbours (Å) after each atom.
Atoms (fractional coordinates):
Ta 0.7500 0.7500 0.7500  12 Zn 3.06, 4 Te 3.20
Zn 0.8697 0.3768 0.3768  6 Zn 2.57-2.65
Zn 0.3768 0.3768 0.8697  6 Zn 2.57-2.65
Zn 0.3768 0.8697 0.3768  6 Zn 2.57-2.65
Zn 0.3768 0.3768 0.3768  6 Zn 2.57-2.65
Te 0.0000 0.0000 0.0000  12 Zn 3.06, 4 Ta 3.20